1.
Material: PPdAu3
Method: DFT, PBEsol
State: relaxed

Results
* E_form: 0.370 eV per atom
* polymorph energy (0 for the lowest one): 0 meV/atom

Lattice parameters (Å, degrees): 4.5709 4.5709 4.5709 90.00 90.00 90.00
Positions (direct):
P (0.0000, 0.0000, 0.0000)
Au (0.0000, 0.5000, 0.0000)
Au (0.0000, 0.0000, 0.5000)
Au (0.5000, 0.0000, 0.0000)
Pd (0.5000, 0.5000, 0.5000)



2.
Material: Cd8Hg
Method: DFT, PBEsol
State: relaxed

Results
* E_form: 0.005 eV per atom

Lattice parameters (Å, degrees): 4.3919 6.9114 6.9114 84.21 71.47 71.47
Positions (direct):
Cd (0.3340, 0.6660, 0.6660)
Cd (0.6660, 0.3340, 0.3340)
Cd (0.0000, 0.3340, 0.6660)
Cd (0.3321, 0.0000, 0.3357)
Cd (0.6679, 0.6643, 0.0000)
Cd (0.0000, 0.6660, 0.3340)
Cd (0.3321, 0.3357, 0.0000)
Cd (0.6679, 0.0000, 0.6643)
Hg (0.0000, 0.0000, 0.0000)



3.
Material: BiN2F2
Method: DFT, PBEsol
State: relaxed

Results
* polymorph energy (0 for the lowest one): 0 meV/atom

Lattice parameters (Å, degrees): 3.8487 6.4521 6.4521 90.00 90.00 90.00
Positions (direct):
F (0.0000, 0.2716, 0.7716)
F (0.0000, 0.7716, 0.7284)
F (0.0000, 0.7284, 0.2284)
F (0.0000, 0.2284, 0.2716)
Bi (0.0000, 0.0000, 0.0000)
Bi (0.0000, 0.5000, 0.5000)
N (0.5000, 0.0610, 0.5610)
N (0.5000, 0.5610, 0.9390)
N (0.5000, 0.9390, 0.4390)
N (0.5000, 0.4390, 0.0610)



4.
Material: LaY3Br
Method: DFT, PBEsol
State: relaxed

Results
* VASP energy: -5.830 eV/atom

Lattice parameters (Å, degrees): 5.4006 5.4006 5.4006 90.00 90.00 90.00
Positions (direct):
Y (0.0000, 0.5000, 0.0000)
Y (0.0000, 0.0000, 0.5000)
Y (0.5000, 0.0000, 0.0000)
Br (0.0000, 0.0000, 0.0000)
La (0.5000, 0.5000, 0.5000)



5.
Material: Be4CdBr
Method: DFT, PBEsol
State: relaxed

Results
* VASP energy: -2.548 eV/atom

Lattice parameters (Å, degrees): 4.8251 4.8251 4.8251 60.00 60.00 60.00
Positions (direct):
Be (0.3707, 0.3707, 0.3707)
Be (0.3707, 0.3707, 0.8878)
Be (0.8878, 0.3707, 0.3707)
Be (0.3707, 0.8878, 0.3707)
Br (0.7500, 0.7500, 0.7500)
Cd (0.0000, 0.0000, 0.0000)



6.
Material: ReRuAu
Method: DFT, PBEsol
State: relaxed

Results
* E_form: 0.207 eV per atom
* polymorph energy (0 for the lowest one): 0 meV/atom

Lattice parameters (Å, degrees): 2.7917 2.7917 6.1135 103.20 103.20 90.00
Positions (direct):
Au (0.0003, 0.0003, 0.0007)
Re (0.6802, 0.6802, 0.3604)
Ru (0.3195, 0.3195, 0.6390)



7.
Material: LaMnCd2
Method: DFT, PBEsol
State: relaxed

Results
* E_form: 0.064 eV per atom

Lattice parameters (Å, degrees): 3.3503 3.3503 7.8071 90.00 90.00 90.00
Site moments in Bohr magnetons follow the coordinates.
Positions (direct):
Cd (0.0000, 0.0000, 0.6954)  0.03
Cd (0.0000, 0.0000, 0.3046)  0.03
La (0.5000, 0.5000, 0.0000)  0.04
Mn (0.5000, 0.5000, 0.5000)  -3.70



8.
Material: ZrTe2SI
Method: DFT, PBEsol
State: relaxed

Results
* polymorph energy (0 for the lowest one): 512 meV/atom

Lattice parameters (Å, degrees): 5.5141 5.5141 5.5584 90.00 90.00 90.00
Site moments in Bohr magnetons follow the coordinates.
Positions (direct):
I (0.0000, 0.0000, 0.5000)  0.05
S (0.5000, 0.5000, 0.5000)  0.88
Te (0.0000, 0.5000, 0.0000)  0.08
Te (0.5000, 0.0000, 0.0000)  0.08
Zr (0.0000, 0.0000, 0.0000)  0.09